(one)
Entry from the Alexandria database: a geometry-optimized ZrCd5Ag2 structure (PBE).

Summary:
**N(E_F)**: 7.6 states/eV/cell

The structure in POSCAR format:
```
ZrCd5Ag2
1.0
-3.772 3.772 6.120
3.772 -3.772 6.120
3.772 3.772 -6.120
Zr Cd Ag
2 10 4
Direct
0.250 0.250 0.000
0.750 0.750 0.000
0.000 0.000 0.000
0.001 0.501 0.194
0.193 0.999 0.500
0.307 0.807 0.806
0.499 0.693 0.500
0.500 0.500 0.000
0.501 0.307 0.500
0.693 0.193 0.194
0.807 0.001 0.500
0.999 0.499 0.806
0.139 0.361 0.500
0.361 0.861 0.221
0.639 0.139 0.779
0.861 0.639 0.500
```

(two)
Entry from the Alexandria database: a geometry-optimized ZrCd5Ag2 structure (PBE).

Summary:
**N(E_F)**: 4.4 states/eV/cell

The structure in POSCAR format:
```
ZrCd5Ag2
1.0
-2.185 2.185 8.659
2.185 -2.185 8.659
2.185 2.185 -8.659
Zr Cd Ag
1 5 2
Direct
0.000 0.000 0.000
0.131 0.631 0.500
0.369 0.869 0.500
0.500 0.500 0.000
0.631 0.131 0.500
0.869 0.369 0.500
0.243 0.243 0.000
0.757 0.757 0.000
```

Of them, the most stable is (two) and the least stable is (one).

(one)
Entry from the Alexandria database: a geometry-optimized ZrCd3Ag structure (PBE).

Summary:
**N(E_F)**: 5.5 states/eV/cell

The structure in POSCAR format:
```
ZrCd3Ag
1.0
5.636 0.000 0.000
0.000 5.636 0.000
0.000 0.000 5.636
Zr Cd Ag
1 3 1
Direct
0.000 0.000 0.000
0.000 0.000 0.500
0.000 0.500 0.000
0.500 0.000 0.000
0.500 0.500 0.500
```

(two)
Entry from the Alexandria database: a geometry-optimized ZrCd3Ag structure (PBE).

Summary:
**N(E_F)**: 5.7 states/eV/cell

The structure in POSCAR format:
```
ZrCd3Ag
1.0
4.947 0.000 0.000
0.000 3.069 0.000
0.000 0.000 13.776
Zr Cd Ag
2 6 2
Direct
0.250 0.000 0.155
0.750 0.000 0.845
0.250 0.000 0.562
0.250 0.500 0.356
0.250 0.500 0.949
0.750 0.000 0.438
0.750 0.500 0.051
0.750 0.500 0.644
0.250 0.500 0.750
0.750 0.500 0.250
```

Of them, the most stable is (two) and the least stable is (one).

(one)
Entry from the Alexandria database: a geometry-optimized ZrCd3Ag structure (PBE).

Summary:
**N(E_F)**: 6.4 states/eV/cell

The structure in POSCAR format:
```
ZrCd3Ag
1.0
7.662 -2.202 0.000
7.662 2.202 0.000
-1.059 0.000 6.236
Zr Cd Ag
2 6 2
Direct
0.104 0.104 0.041
0.896 0.896 0.959
0.099 0.099 0.539
0.295 0.295 0.665
0.499 0.499 0.240
0.501 0.501 0.760
0.705 0.705 0.335
0.901 0.901 0.461
0.302 0.302 0.158
0.698 0.698 0.842
```

(two)
Entry from the Alexandria database: a geometry-optimized ZrCd3Ag structure (PBE).

Summary:
**N(E_F)**: 3.5 states/eV/cell

The structure in POSCAR format:
```
ZrCd3Ag
1.0
5.052 0.000 0.000
0.000 5.052 0.000
0.000 0.000 5.052
Zr Cd Ag
1 3 1
Direct
0.000 0.000 0.000
0.000 0.500 0.500
0.500 0.000 0.500
0.500 0.500 0.000
0.500 0.500 0.500
```

Of them, the most stable is (one) and the least stable is (two).

(one)
Entry from the Alexandria database: a geometry-optimized Zr2Cd3Ag3 structure (PBE).

Summary:
**N(E_F)**: 10.3 states/eV/cell

The structure in POSCAR format:
```
Zr2Cd3Ag3
1.0
8.473 0.000 0.000
-4.236 7.338 0.000
0.000 0.000 5.684
Zr Cd Ag
4 6 6
Direct
0.333 0.667 0.000
0.333 0.667 0.500
0.667 0.333 0.000
0.667 0.333 0.500
0.000 0.304 0.250
0.000 0.696 0.750
0.304 0.000 0.250
0.304 0.304 0.750
0.696 0.000 0.750
0.696 0.696 0.250
0.000 0.356 0.750
0.000 0.644 0.250
0.356 0.000 0.750
0.356 0.356 0.250
0.644 0.000 0.250
0.644 0.644 0.750
```

(two)
Entry from the Alexandria database: a geometry-optimized Zr2Cd3Ag3 structure (PBE).

Summary:
**N(E_F)**: 5.5 states/eV/cell

The structure in POSCAR format:
```
Zr2Cd3Ag3
1.0
-2.136 2.167 8.706
2.136 -2.167 8.706
2.136 2.167 -8.706
Zr Cd Ag
2 3 3
Direct
0.248 0.248 0.000
0.752 0.752 0.000
0.121 0.621 0.500
0.500 0.500 0.000
0.879 0.379 0.500
0.000 0.000 0.000
0.378 0.878 0.500
0.622 0.122 0.500
```

Of them, the most stable is (two) and the least stable is (one).